No. 1
Here is a relaxed structure of Sr2CaBiAs from Alexandria. Energies are from GGA-PBE.

Cell lengths 5.882, 5.882, 5.542 Å; angles 90.00, 90.00, 90.00 degrees
Sites, in units of the cell vectors:
Sr (0.000, 0.500, 0.000)
Sr (0.500, 0.000, 0.000)
As (0.000, 0.000, 0.000)
Ca (0.000, 0.000, 0.500)
Bi (0.500, 0.500, 0.500)

Calculated volume   38.343 A^3/atom
Theoretical density   4.32 g/cm³
Electronic total energy   -0.26969 Ry/atom


No. 2
Here is a relaxed structure of ReBi2BIr from Alexandria. Energies are from GGA-PBE.

Cell lengths 5.272, 4.816, 5.272 Å; angles 90.00, 90.00, 90.00 degrees
Sites, in units of the cell vectors:
Re (0.000, 0.000, 0.000)
B (0.500, 0.500, 0.500)
Ir (0.000, 0.500, 0.000)
Bi (0.000, 0.000, 0.500)
Bi (0.500, 0.000, 0.000)

Calculated volume   26.775 A^3/atom
Theoretical density   10.01 g/cm³
Electronic total energy   -0.38470 Ry/atom


No. 3
Here is a relaxed structure of Zr2OsPb from Alexandria. Energies are from GGA-PBE.

Cell lengths 4.492, 3.424, 5.815 Å; angles 72.88, 90.00, 90.00 degrees
Sites, in units of the cell vectors:
Os (0.000, 0.726, 0.423)
Pb (0.500, 0.546, 0.783)
Zr (0.000, 0.957, 0.961)
Zr (0.500, 0.271, 0.333)

Calculated volume   21.367 A^3/atom
Theoretical density   11.27 g/cm³
Electronic total energy   -0.60021 Ry/atom


No. 4
Here is a relaxed structure of ZrZnH from Alexandria. Energies are from GGA-PBE.

Cell lengths 3.814, 3.814, 5.733 Å; angles 99.26, 99.22, 85.07 degrees
Sites, in units of the cell vectors:
Zr (0.015, 0.028, 0.040)
Zr (0.446, 0.458, 0.717)
Zn (0.931, 0.943, 0.510)
Zn (0.530, 0.543, 0.248)
H (0.482, 0.991, 0.879)
H (0.979, 0.495, 0.879)

E above lowest polymorph   0.000 eV/atom
Calculated volume   13.518 A^3/atom
Theoretical density   6.45 g/cm³
Electronic total energy   -0.34299 Ry/atom


No. 5
Here is a relaxed structure of As4SeBr from Alexandria. Energies are from GGA-PBE.

Cell lengths 5.921, 5.921, 5.921 Å; angles 60.00, 60.00, 60.00 degrees
Sites, in units of the cell vectors:
As (0.819, 0.394, 0.394)
As (0.394, 0.394, 0.819)
As (0.394, 0.819, 0.394)
As (0.394, 0.394, 0.394)
Se (0.000, 0.000, 0.000)
Br (0.750, 0.750, 0.750)

Calculated volume   24.466 A^3/atom
Theoretical density   5.19 g/cm³
Electronic total energy   -0.25799 Ry/atom
Formation energy without anion corrections   0.449 eV per atom


No. 6
Here is a relaxed structure of Pr3Mg4Au4 from Alexandria. Energies are from GGA-PBE.

Cell lengths 4.171, 8.190, 9.011 Å; angles 117.03, 103.38, 90.00 degrees
Sites, in units of the cell vectors:
Pr (0.115, 0.115, 0.230)
Pr (0.885, 0.885, 0.770)
Pr (0.000, 0.500, 0.000)
Mg (0.326, 0.135, 0.652)
Mg (0.674, 0.483, 0.348)
Mg (0.674, 0.865, 0.348)
Mg (0.326, 0.517, 0.652)
Au (0.232, 0.732, 0.463)
Au (0.768, 0.268, 0.537)
Au (0.500, 0.796, 0.000)
Au (0.500, 0.204, 0.000)

Calculated volume   24.072 A^3/atom
Theoretical density   8.20 g/cm³
Electronic total energy   -0.27222 Ry/atom


No. 7
Here is a relaxed structure of NbHg2Te from Alexandria. Energies are from GGA-PBE.

Cell lengths 9.336, 9.336, 7.119 Å; angles 49.03, 49.03, 90.00 degrees
Sites, in units of the cell vectors:
Nb (0.500, 0.500, 0.000)
Nb (0.250, 0.750, 0.500)
Te (0.000, 0.000, 0.000)
Te (0.750, 0.250, 0.500)
Hg (0.535, 0.125, 0.250)
Hg (0.215, 0.625, 0.250)
Hg (0.375, 0.465, 0.750)
Hg (0.875, 0.785, 0.750)

Calculated volume   29.031 A^3/atom
Theoretical density   8.89 g/cm³
Electronic total energy   -0.22320 Ry/atom
Formation energy without anion corrections   0.417 eV per atom


No. 8
Here is a relaxed structure of CsCu3Pt from Alexandria. Energies are from GGA-PBE.

Cell lengths 5.060, 5.060, 5.060 Å; angles 90.00, 90.00, 90.00 degrees
Sites, in units of the cell vectors:
Cs (0.000, 0.000, 0.000)
Cu (0.000, 0.500, 0.000)
Cu (0.000, 0.000, 0.500)
Cu (0.500, 0.000, 0.000)
Pt (0.500, 0.500, 0.500)

E above lowest polymorph   1.701 eV/atom
Calculated volume   25.911 A^3/atom
Theoretical density   6.65 g/cm³
Electronic total energy   -0.12461 Ry/atom


No. 9
Here is a relaxed structure of La5NdY6 from Alexandria. Energies are from GGA-PBE.

Cell lengths 5.248, 10.043, 9.675 Å; angles 121.27, 105.74, 90.00 degrees
Sites, in units of the cell vectors:
Y (0.834, 0.584, 0.668)
Y (0.834, 0.084, 0.668)
Y (0.500, 0.750, 0.000)
Y (0.500, 0.250, 0.000)
Y (0.166, 0.916, 0.332)
Y (0.166, 0.416, 0.332)
Nd (0.000, 0.000, 0.000)
La (0.666, 0.166, 0.331)
La (0.333, 0.333, 0.666)
La (0.000, 0.500, 0.000)
La (0.667, 0.667, 0.334)
La (0.334, 0.834, 0.669)

Calculated volume   34.447 A^3/atom
Theoretical density   5.51 g/cm³
Electronic total energy   -0.41617 Ry/atom


No. 10
Here is a relaxed structure of PmDy2TmSe5 from Alexandria. Energies are from GGA-PBE.

Cell lengths 5.082, 5.082, 10.889 Å; angles 90.00, 90.00, 90.00 degrees
Sites, in units of the cell vectors:
Pm (0.000, 0.000, 0.000)
Dy (0.500, 0.500, 0.343)
Dy (0.500, 0.500, 0.657)
Tm (0.000, 0.000, 0.500)
Se (0.000, 0.500, 0.500)
Se (0.500, 0.000, 0.500)
Se (0.000, 0.000, 0.748)
Se (0.000, 0.000, 0.252)
Se (0.500, 0.500, 0.000)

Calculated volume   31.250 A^3/atom
Theoretical density   6.10 g/cm³
Electronic total energy   -0.37796 Ry/atom
Formation energy without anion corrections   -1.159 eV per atom


No. 11
Here is a relaxed structure of CrCo4Hg from Alexandria. Energies are from GGA-PBE.

Cell lengths 4.821, 4.821, 4.821 Å; angles 60.00, 60.00, 60.00 degrees
Last column: magnetic moment on the atom in μB.
Sites, in units of the cell vectors:
Cr (0.750, 0.750, 0.750)  2.90
Co (0.873, 0.376, 0.376)  1.69
Co (0.376, 0.376, 0.873)  1.69
Co (0.376, 0.873, 0.376)  1.69
Co (0.376, 0.376, 0.376)  1.69
Hg (0.000, 0.000, 0.000)  -0.04

Calculated volume   13.203 A^3/atom
Theoretical density   10.24 g/cm³
Electronic total energy   -0.44625 Ry/atom


No. 12
Here is a relaxed structure of Y4Tc from Alexandria. Energies are from GGA-PBE.

Cell lengths 5.843, 5.843, 5.843 Å; angles 109.47, 109.47, 109.47 degrees
Sites, in units of the cell vectors:
Y (0.500, 0.000, 0.000)
Y (0.500, 0.500, 0.500)
Y (0.000, 0.500, 0.000)
Y (0.000, 0.000, 0.500)
Tc (0.000, 0.000, 0.000)

E above lowest polymorph   0.300 eV/atom
Calculated volume   30.716 A^3/atom
Theoretical density   4.90 g/cm³
Electronic total energy   -0.50611 Ry/atom


No. 13
Here is a relaxed structure of TlCdI2N from Alexandria. Energies are from GGA-PBE.

Cell lengths 6.216, 6.216, 4.391 Å; angles 90.00, 90.00, 90.00 degrees
Last column: magnetic moment on the atom in μB.
Sites, in units of the cell vectors:
I (0.000, 0.500, 0.000)  0.05
I (0.500, 0.000, 0.000)  0.05
Tl (0.500, 0.500, 0.500)  0.00
N (0.000, 0.000, 0.500)  1.23
Cd (0.000, 0.000, 0.000)  0.00

E above lowest polymorph   0.000 eV/atom
Calculated volume   33.931 A^3/atom
Theoretical density   5.72 g/cm³
Electronic total energy   -0.19342 Ry/atom
Formation energy without anion corrections   0.310 eV per atom


No. 14
Here is a relaxed structure of Na3Al2Zn7 from Alexandria. Energies are from GGA-PBE.

Cell lengths 5.396, 5.396, 9.314 Å; angles 73.16, 73.16, 60.00 degrees
Sites, in units of the cell vectors:
Na (0.000, 0.000, 0.000)
Na (0.856, 0.856, 0.432)
Na (0.144, 0.144, 0.568)
Al (0.666, 0.666, 0.001)
Al (0.334, 0.334, 0.999)
Zn (0.500, 0.500, 0.500)
Zn (0.919, 0.415, 0.252)
Zn (0.415, 0.919, 0.252)
Zn (0.415, 0.415, 0.252)
Zn (0.081, 0.585, 0.748)
Zn (0.585, 0.585, 0.748)
Zn (0.585, 0.081, 0.748)

Calculated volume   18.447 A^3/atom
Theoretical density   4.36 g/cm³
Electronic total energy   -0.12593 Ry/atom


No. 15
Here is a relaxed structure of InCuP2S from Alexandria. Energies are from GGA-PBE.

Cell lengths 5.037, 5.037, 5.038 Å; angles 90.00, 90.00, 90.00 degrees
Last column: magnetic moment on the atom in μB.
Sites, in units of the cell vectors:
P (0.000, 0.500, 0.000)  0.26
P (0.500, 0.000, 0.000)  0.26
S (0.000, 0.000, 0.500)  0.13
Cu (0.500, 0.500, 0.500)  0.05
In (0.000, 0.000, 0.000)  0.00

E above lowest polymorph   0.686 eV/atom
Calculated volume   25.563 A^3/atom
Theoretical density   3.54 g/cm³
Electronic total energy   -0.22429 Ry/atom
Formation energy without anion corrections   1.305 eV per atom


No. 16
Here is a relaxed structure of Dy5Sc2Tl5 from Alexandria. Energies are from GGA-PBE.

Cell lengths 4.860, 6.325, 13.330 Å; angles 114.17, 90.00, 112.59 degrees
Sites, in units of the cell vectors:
Dy (0.500, 0.000, 0.500)
Dy (0.660, 0.320, 0.017)
Dy (0.700, 0.400, 0.299)
Dy (0.300, 0.600, 0.701)
Dy (0.340, 0.680, 0.983)
Sc (0.039, 0.079, 0.793)
Sc (0.961, 0.921, 0.207)
Tl (0.150, 0.300, 0.442)
Tl (0.682, 0.364, 0.783)
Tl (0.318, 0.636, 0.217)
Tl (0.850, 0.700, 0.558)
Tl (0.000, 0.000, 0.000)

Calculated volume   28.259 A^3/atom
Theoretical density   9.42 g/cm³
Electronic total energy   -0.30484 Ry/atom


No. 17
Here is a relaxed structure of SiPbAu from Alexandria. Energies are from GGA-PBE.

Cell lengths 6.167, 7.517, 7.517 Å; angles 153.10, 154.21, 39.78 degrees
Sites, in units of the cell vectors:
Au (0.183, 0.959, 0.224)
Pb (0.386, 0.670, 0.717)
Si (0.430, 0.371, 0.060)

E above lowest polymorph   0.146 eV/atom
Calculated volume   22.507 A^3/atom
Theoretical density   10.63 g/cm³
Electronic total energy   -0.28937 Ry/atom
Formation energy without anion corrections   0.199 eV per atom


No. 18
Here is a relaxed structure of BeNbH from Alexandria. Energies are from GGA-PBE.

Cell lengths 12.407, 4.777, 4.777 Å; angles 139.72, 152.46, 27.54 degrees
Sites, in units of the cell vectors:
Be (0.904, 0.087, 0.913)
Be (0.149, 0.360, 0.640)
Nb (0.857, 0.438, 0.562)
Nb (0.452, 0.237, 0.763)
H (0.446, 0.867, 0.133)
H (0.587, 0.413, 0.587)

E above lowest polymorph   0.361 eV/atom
Calculated volume   10.026 A^3/atom
Theoretical density   5.68 g/cm³
Electronic total energy   -0.41895 Ry/atom


No. 19
Here is a relaxed structure of Tl2FeAu from Alexandria. Energies are from GGA-PBE.

Cell lengths 9.326, 9.326, 9.326 Å; angles 20.89, 20.89, 20.89 degrees
Last column: magnetic moment on the atom in μB.
Sites, in units of the cell vectors:
Au (0.488, 0.488, 0.488)  0.07
Fe (0.758, 0.758, 0.758)  3.04
Tl (0.013, 0.013, 0.013)  -0.01
Tl (0.242, 0.242, 0.242)  -0.02

E above lowest polymorph   0.100 eV/atom
Calculated volume   22.573 A^3/atom
Theoretical density   12.17 g/cm³
Electronic total energy   -0.27453 Ry/atom


No. 20
Here is a relaxed structure of Y2Pd5Pt from Alexandria. Energies are from GGA-PBE.

Cell lengths 4.139, 5.835, 11.676 Å; angles 90.00, 90.00, 90.00 degrees
Sites, in units of the cell vectors:
Y (0.500, 0.251, 0.625)
Y (0.500, 0.749, 0.375)
Y (0.500, 0.249, 0.125)
Y (0.500, 0.751, 0.875)
Pd (0.000, 0.000, 0.000)
Pd (0.000, 0.500, 0.500)
Pd (0.000, 0.502, 0.750)
Pd (0.000, 0.498, 0.250)
Pd (0.000, 0.998, 0.250)
Pd (0.000, 0.002, 0.750)
Pd (0.500, 0.252, 0.875)
Pd (0.500, 0.748, 0.125)
Pd (0.500, 0.248, 0.375)
Pd (0.500, 0.752, 0.625)
Pt (0.000, 0.000, 0.500)
Pt (0.000, 0.500, 0.000)

Calculated volume   17.626 A^3/atom
Theoretical density   10.66 g/cm³
Electronic total energy   -0.47745 Ry/atom


No. 21
Here is a relaxed structure of Re2HPtW from Alexandria. Energies are from GGA-PBE.

Cell lengths 3.969, 3.969, 3.995 Å; angles 90.00, 90.00, 90.00 degrees
Sites, in units of the cell vectors:
Re (0.000, 0.500, 0.000)
Re (0.500, 0.000, 0.000)
W (0.000, 0.000, 0.500)
Pt (0.500, 0.500, 0.500)
H (0.000, 0.000, 0.000)

Calculated volume   12.588 A^3/atom
Theoretical density   19.85 g/cm³
Electronic total energy   -0.69299 Ry/atom


No. 22
Here is a relaxed structure of SmY6Er4 from Alexandria. Energies are from GGA-PBE.

Cell lengths 3.545, 10.894, 10.894 Å; angles 120.00, 90.00, 90.00 degrees
Sites, in units of the cell vectors:
Sm (0.000, 0.000, 0.000)
Y (0.000, 0.520, 0.040)
Y (0.500, 0.633, 0.817)
Y (0.000, 0.520, 0.480)
Y (0.000, 0.960, 0.480)
Y (0.500, 0.183, 0.817)
Y (0.500, 0.183, 0.367)
Er (0.500, 0.839, 0.677)
Er (0.500, 0.323, 0.161)
Er (0.500, 0.839, 0.161)
Er (0.000, 0.333, 0.667)

E above lowest polymorph   0.045 eV/atom
Calculated volume   33.122 A^3/atom
Theoretical density   6.17 g/cm³
Electronic total energy   -0.40052 Ry/atom